[1]
Here is an optimized crystal structure of Tm3Mo5N12 from Alexandria via LeMat-Bulk. Energies are from PBE.

Summary:
SG: Ia-3d
Energy: -9.066 eV per atom
ΔE_f (raw): -0.692 eV per atom

CIF file:
```
data_Tm3Mo5N12
_cell_length_a 10.980
_cell_length_b 10.980
_cell_length_c 10.980
_cell_angle_alpha 109.47
_cell_angle_beta 109.47
_cell_angle_gamma 109.47
_symmetry_space_group_name_H-M 'P 1'
_symmetry_Int_Tables_number 1
loop_
_symmetry_equiv_pos_as_xyz
'x,y,z'
loop_
_atom_site_label
_atom_site_type_symbol
_atom_site_fract_x
_atom_site_fract_y
_atom_site_fract_z
Tm1 Tm 0.125 0.250 0.375
Tm2 Tm 0.125 0.375 0.750
Tm3 Tm 0.250 0.375 0.125
Tm4 Tm 0.250 0.875 0.625
Tm5 Tm 0.375 0.125 0.250
Tm6 Tm 0.375 0.750 0.125
Tm7 Tm 0.625 0.250 0.875
Tm8 Tm 0.625 0.875 0.750
Tm9 Tm 0.750 0.125 0.375
Tm10 Tm 0.750 0.625 0.875
Tm11 Tm 0.875 0.625 0.250
Tm12 Tm 0.875 0.750 0.625
Mo1 Mo 0.000 0.000 0.000
Mo2 Mo 0.000 0.000 0.500
Mo3 Mo 0.000 0.500 0.000
Mo4 Mo 0.000 0.500 0.500
Mo5 Mo 0.125 0.750 0.875
Mo6 Mo 0.125 0.875 0.250
Mo7 Mo 0.250 0.125 0.875
Mo8 Mo 0.250 0.625 0.375
Mo9 Mo 0.375 0.250 0.625
Mo10 Mo 0.375 0.625 0.750
Mo11 Mo 0.500 0.000 0.000
Mo12 Mo 0.500 0.000 0.500
Mo13 Mo 0.500 0.500 0.000
Mo14 Mo 0.500 0.500 0.500
Mo15 Mo 0.625 0.375 0.250
Mo16 Mo 0.625 0.750 0.375
Mo17 Mo 0.750 0.375 0.625
Mo18 Mo 0.750 0.875 0.125
Mo19 Mo 0.875 0.125 0.750
Mo20 Mo 0.875 0.250 0.125
N1 N 0.024 0.205 0.119
N2 N 0.024 0.319 0.905
N3 N 0.086 0.705 0.681
N4 N 0.086 0.881 0.405
N5 N 0.095 0.619 0.414
N6 N 0.095 0.976 0.681
N7 N 0.119 0.024 0.205
N8 N 0.119 0.595 0.914
N9 N 0.181 0.205 0.586
N10 N 0.181 0.476 0.595
N11 N 0.205 0.119 0.024
N12 N 0.205 0.586 0.181
N13 N 0.295 0.319 0.914
N14 N 0.295 0.476 0.381
N15 N 0.319 0.905 0.024
N16 N 0.319 0.914 0.295
N17 N 0.381 0.295 0.476
N18 N 0.381 0.586 0.905
N19 N 0.405 0.086 0.881
N20 N 0.405 0.819 0.524
N21 N 0.414 0.095 0.619
N22 N 0.414 0.819 0.795
N23 N 0.476 0.381 0.295
N24 N 0.476 0.595 0.181
N25 N 0.524 0.405 0.819
N26 N 0.524 0.619 0.705
N27 N 0.586 0.181 0.205
N28 N 0.586 0.905 0.381
N29 N 0.595 0.181 0.476
N30 N 0.595 0.914 0.119
N31 N 0.619 0.414 0.095
N32 N 0.619 0.705 0.524
N33 N 0.681 0.086 0.705
N34 N 0.681 0.095 0.976
N35 N 0.705 0.524 0.619
N36 N 0.705 0.681 0.086
N37 N 0.795 0.414 0.819
N38 N 0.795 0.881 0.976
N39 N 0.819 0.524 0.405
N40 N 0.819 0.795 0.414
N41 N 0.881 0.405 0.086
N42 N 0.881 0.976 0.795
N43 N 0.905 0.024 0.319
N44 N 0.905 0.381 0.586
N45 N 0.914 0.119 0.595
N46 N 0.914 0.295 0.319
N47 N 0.976 0.681 0.095
N48 N 0.976 0.795 0.881
```

[2]
Here is an optimized crystal structure of TmMoN3 from Alexandria via LeMat-Bulk. Energies are from PBE.

Summary:
SG: C2/c
Energy: -8.979 eV per atom
ΔE_f (raw): -0.923 eV per atom

CIF file:
```
data_TmMoN3
_cell_length_a 7.345
_cell_length_b 7.345
_cell_length_c 6.230
_cell_angle_alpha 107.29
_cell_angle_beta 107.29
_cell_angle_gamma 80.83
_symmetry_space_group_name_H-M 'P 1'
_symmetry_Int_Tables_number 1
loop_
_symmetry_equiv_pos_as_xyz
'x,y,z'
loop_
_atom_site_label
_atom_site_type_symbol
_atom_site_fract_x
_atom_site_fract_y
_atom_site_fract_z
Tm1 Tm 0.088 0.912 0.750
Tm2 Tm 0.286 0.714 0.250
Tm3 Tm 0.714 0.286 0.750
Tm4 Tm 0.912 0.088 0.250
Mo1 Mo 0.200 0.380 0.781
Mo2 Mo 0.380 0.200 0.281
Mo3 Mo 0.620 0.800 0.719
Mo4 Mo 0.800 0.620 0.219
N1 N 0.001 0.216 0.655
N2 N 0.115 0.626 0.833
N3 N 0.216 0.001 0.155
N4 N 0.334 0.378 0.088
N5 N 0.374 0.885 0.667
N6 N 0.378 0.334 0.588
N7 N 0.622 0.666 0.412
N8 N 0.626 0.115 0.333
N9 N 0.666 0.622 0.912
N10 N 0.784 0.999 0.845
N11 N 0.885 0.374 0.167
N12 N 0.999 0.784 0.345
```

[3]
Here is an optimized crystal structure of Tm2MoN4 from Alexandria via LeMat-Bulk. Energies are from PBE.

Summary:
SG: Fddd
Energy: -8.750 eV per atom
ΔE_f (raw): -1.168 eV per atom

CIF file:
```
data_Tm2MoN4
_cell_length_a 7.982
_cell_length_b 6.906
_cell_length_c 6.075
_cell_angle_alpha 75.59
_cell_angle_beta 56.93
_cell_angle_gamma 47.49
_symmetry_space_group_name_H-M 'P 1'
_symmetry_Int_Tables_number 1
loop_
_symmetry_equiv_pos_as_xyz
'x,y,z'
loop_
_atom_site_label
_atom_site_type_symbol
_atom_site_fract_x
_atom_site_fract_y
_atom_site_fract_z
Tm1 Tm 0.069 0.681 0.069
Tm2 Tm 0.319 0.931 0.319
Tm3 Tm 0.681 0.069 0.681
Tm4 Tm 0.931 0.319 0.931
Mo1 Mo 0.375 0.375 0.375
Mo2 Mo 0.625 0.625 0.625
N1 N 0.168 0.735 0.342
N2 N 0.255 0.342 0.735
N3 N 0.265 0.832 0.745
N4 N 0.342 0.255 0.168
N5 N 0.658 0.745 0.832
N6 N 0.735 0.168 0.255
N7 N 0.745 0.658 0.265
N8 N 0.832 0.265 0.658
```

[4]
Here is an optimized crystal structure of TmMoN2 from Alexandria via LeMat-Bulk. Energies are from PBE.

Summary:
SG: R-3m
Energy: -9.005 eV per atom
ΔE_f (raw): -1.016 eV per atom

CIF file:
```
data_TmMoN2
_cell_length_a 3.201
_cell_length_b 3.201
_cell_length_c 15.738
_cell_angle_alpha 90.00
_cell_angle_beta 90.00
_cell_angle_gamma 120.00
_symmetry_space_group_name_H-M 'P 1'
_symmetry_Int_Tables_number 1
loop_
_symmetry_equiv_pos_as_xyz
'x,y,z'
loop_
_atom_site_label
_atom_site_type_symbol
_atom_site_fract_x
_atom_site_fract_y
_atom_site_fract_z
Tm1 Tm 0.000 0.000 0.000
Tm2 Tm 0.333 0.667 0.667
Tm3 Tm 0.667 0.333 0.333
Mo1 Mo 0.000 0.000 0.500
Mo2 Mo 0.333 0.667 0.167
Mo3 Mo 0.667 0.333 0.833
N1 N 0.000 0.000 0.245
N2 N 0.000 0.000 0.755
N3 N 0.333 0.667 0.422
N4 N 0.333 0.667 0.911
N5 N 0.667 0.333 0.089
N6 N 0.667 0.333 0.578
```